Density functional theory data (PBE with a Hubbard U) for an optimized crystal structure of Li2Mn4OF8.

Calculated values
Uncorrected energy (eV per cell): -183.71
Relative energy among the computed polymorphs (eV per atom): 0.004

Lattice parameters (Å, degrees): 6.9813 8.0129 8.1994 100.51 112.89 105.24
Sites, in units of the cell vectors:
Li1 0.0913 0.2755 0.4415
Li2 0.3750 0.3012 0.1451
Li3 0.6250 0.6988 0.8549
Li4 0.9087 0.7245 0.5585
Mn1 0.1023 0.8996 0.2823
Mn2 0.1830 0.6195 0.9498
Mn3 0.4036 0.6633 0.4303
Mn4 0.4119 0.0124 0.7641
Mn5 0.5881 0.9876 0.2359
Mn6 0.5964 0.3367 0.5697
Mn7 0.8170 0.3805 0.0502
Mn8 0.8977 0.1004 0.7177
O1 0.3049 0.7769 0.2155
O2 0.6951 0.2231 0.7845
F1 0.1053 0.4119 0.2705
F2 0.1162 0.9643 0.8011
F3 0.1632 0.7643 0.5037
F4 0.1885 0.3583 0.9354
F5 0.2366 0.1207 0.5488
F6 0.3713 0.1392 0.2905
F7 0.4130 0.4962 0.6284
F8 0.4422 0.8034 0.9321
F9 0.5578 0.1966 0.0679
F10 0.5870 0.5038 0.3716
F11 0.6287 0.8608 0.7095
F12 0.7634 0.8793 0.4512
F13 0.8115 0.6417 0.0646
F14 0.8368 0.2357 0.4963
F15 0.8838 0.0357 0.1989
F16 0.8947 0.5881 0.7295